Entry 1:
Density functional theory data (GGA-PBE) for an optimized crystal structure of Tb7NCl12.

a = 8.5630 Å, b = 8.5630 Å, c = 8.5630 Å
α = 107.69°, β = 107.69°, γ = 107.69°
Closest atoms and distances in Å follow each position.
Element x y z (fractional)
Tb 0.9687 0.6909 0.8940  1 N 2.42, 1 Cl 2.71
Tb 0.3091 0.1060 0.0313  1 N 2.42, 1 Cl 2.71
Tb 0.1060 0.0313 0.3091  1 N 2.42, 1 Cl 2.71
Tb 0.5000 0.5000 0.5000  6 Cl 2.72
Tb 0.8940 0.9687 0.6909  1 N 2.42, 1 Cl 2.71
Tb 0.6909 0.8940 0.9687  1 N 2.42, 1 Cl 2.71
Tb 0.0313 0.3091 0.1060  1 N 2.42, 1 Cl 2.71
N 0.0000 0.0000 0.0000  6 Tb 2.42
Cl 0.9219 0.3129 0.7759  3 Tb 2.71-2.94
Cl 0.6871 0.2241 0.0781  3 Tb 2.71-2.94
Cl 0.4685 0.1543 0.3848  3 Tb 2.72-2.75
Cl 0.8457 0.6152 0.5315  3 Tb 2.72-2.75
Cl 0.2241 0.0781 0.6871  3 Tb 2.71-2.94
Cl 0.6152 0.5315 0.8457  3 Tb 2.72-2.75
Cl 0.3848 0.4685 0.1543  3 Tb 2.72-2.75
Cl 0.7759 0.9219 0.3129  3 Tb 2.71-2.94
Cl 0.1543 0.3848 0.4685  3 Tb 2.72-2.75
Cl 0.5315 0.8457 0.6152  3 Tb 2.72-2.75
Cl 0.3129 0.7759 0.9219  3 Tb 2.71-2.94
Cl 0.0781 0.6871 0.2241  3 Tb 2.71-2.94

Values from the calculation:
Raw total energy in eV/cell: -102.69
Formation energy (no corrections) in eV per atom: -1.99
Total moment in μB/cell: 0.00


Entry 2:
Density functional theory data (GGA-PBE) for an optimized crystal structure of BaCaTc2.

a = 4.1626 Å, b = 4.1626 Å, c = 8.9405 Å
α = 76.81°, β = 76.81°, γ = 59.92°
Closest atoms and distances in Å follow each position.
Element x y z (fractional)
Ca 0.2908 0.2908 0.1334  6 Tc 3.12-3.31
Ba 0.4667 0.4667 0.5937  6 Tc 3.38-3.59
Tc 0.0432 0.0432 0.8702  3 Tc 2.42
Tc 0.6994 0.6994 0.9027  3 Tc 2.42

Values from the calculation:
Energy above the lowest structure with this stoichiometry in kJ/mol of formula units: 0.0
Calculated formation energy in kJ per mole of atoms: 25.5
Raw total energy in eV/cell: -23.60
Total moment in μB/cell: 0.00


Entry 3:
Density functional theory data (GGA-PBE) for an optimized crystal structure of InPbBr.

a = 5.5252 Å, b = 5.5252 Å, c = 3.4413 Å
α = 90.00°, β = 90.00°, γ = 120.00°
Closest atoms and distances in Å follow each position.
Element x y z (fractional)
Pb 0.6667 0.3333 0.8324  3 Br 3.19, 2 Pb 3.44
Br 0.0000 0.0000 0.8354  3 Pb 3.19, 2 Br 3.44
In 0.3333 0.6667 0.3322  2 In 3.44, 6 Br 3.62-3.63, 6 Pb 3.62

Values from the calculation:
Energy above the lowest structure with this stoichiometry in kJ/mol of formula units: 37.5
Raw total energy in eV/cell: -8.66
Formation energy (no corrections) in eV per atom: -0.18
Total moment in μB/cell: 0.00